Record 1
{"formula": "Nb4CS5", "functional": "PBE", "state": "optimized geometry", "cell": [[3.356, 0.000, 0.000], [0.000, 6.985, -0.356], [-1.678, -1.351, 7.558]], "species": ["Nb", "Nb", "Nb", "Nb", "C", "S", "S", "S", "S", "S"], "fractional_positions": [[0.001, 0.786, 0.002], [0.643, 0.074, 0.286], [0.999, 0.214, 0.998], [0.357, 0.926, 0.714], [0.500, 0.000, 0.000], [0.838, 0.660, 0.676], [0.500, 0.500, 0.000], [0.171, 0.830, 0.343], [0.162, 0.340, 0.324], [0.829, 0.170, 0.657]], "e_form_raw_ev_per_atom": -0.96, "magmom_total_mub_per_cell": 0.00, "total_energy_ev_per_cell": -79.7}

=====

Record 2
{"formula": "Nb2CS2", "functional": "PBE", "state": "optimized geometry", "cell": [[-3.065, -1.201, -0.058], [2.559, -2.035, 0.389], [-0.581, 1.037, 9.244]], "species": ["Nb", "Nb", "S", "S", "C"], "fractional_positions": [[0.333, 0.667, 0.128], [0.667, 0.333, 0.872], [0.333, 0.667, 0.695], [0.667, 0.333, 0.305], [0.000, 0.000, 0.000]], "e_form_raw_ev_per_atom": -0.86, "magmom_total_mub_per_cell": 0.00, "e_above_lowest_polymorph_mev_per_atom": 4, "total_energy_ev_per_cell": -41.9}

=====

Record 3
{"formula": "Nb2CS2", "functional": "PBE", "state": "optimized geometry", "cell": [[9.688, -0.008, -0.005], [9.133, 3.234, -0.005], [9.133, 1.565, 2.830]], "species": ["Nb", "Nb", "S", "S", "C"], "fractional_positions": [[0.375, 0.375, 0.375], [0.625, 0.625, 0.625], [0.233, 0.233, 0.233], [0.767, 0.767, 0.767], [0.000, 0.000, 0.000]], "e_form_raw_ev_per_atom": -0.87, "magmom_total_mub_per_cell": 0.00, "e_above_lowest_polymorph_mev_per_atom": 0, "total_energy_ev_per_cell": -41.9}

=====

Record 4
{"formula": "Nb6CS2", "functional": "PBE", "state": "optimized geometry", "cell": [[5.587, 0.000, 0.051], [0.000, 6.095, 0.000], [-0.629, 0.000, 8.235]], "species": ["Nb", "Nb", "Nb", "Nb", "Nb", "Nb", "Nb", "Nb", "Nb", "Nb", "Nb", "Nb", "S", "S", "S", "S", "C", "C"], "fractional_positions": [[0.665, 0.464, 0.249], [0.830, 0.686, 0.942], [0.342, 0.815, 0.070], [0.842, 0.685, 0.570], [0.165, 0.036, 0.749], [0.835, 0.964, 0.251], [0.658, 0.185, 0.930], [0.670, 0.186, 0.558], [0.158, 0.315, 0.430], [0.170, 0.314, 0.058], [0.330, 0.814, 0.442], [0.335, 0.536, 0.751], [0.936, 0.381, 0.765], [0.064, 0.619, 0.235], [0.436, 0.119, 0.265], [0.564, 0.881, 0.735], [0.500, 0.500, 0.000], [0.000, 0.000, 0.500]], "e_form_raw_ev_per_atom": -0.52, "magmom_total_mub_per_cell": 0.00, "total_energy_ev_per_cell": -165.2}

=====

Record 5
{"formula": "Nb2CS", "functional": "PBE", "state": "optimized geometry", "cell": [[-0.793, -2.220, 2.232], [1.539, -0.050, 2.858], [-3.882, 3.022, 3.988]], "species": ["C", "S", "Nb", "Nb"], "fractional_positions": [[0.666, 0.666, 0.001], [0.499, 0.499, 0.504], [0.268, 0.268, 0.196], [0.067, 0.067, 0.799]], "e_form_raw_ev_per_atom": -0.73, "magmom_total_mub_per_cell": 0.00, "e_above_lowest_polymorph_mev_per_atom": 49, "total_energy_ev_per_cell": -36.4}

=====

Record 6
{"formula": "Nb2CS", "functional": "PBE", "state": "optimized geometry", "cell": [[-5.157, -0.588, 0.272], [0.137, -3.126, -4.149], [-1.882, -5.930, 1.151]], "species": ["Nb", "Nb", "Nb", "Nb", "S", "S", "C", "C"], "fractional_positions": [[0.375, 0.431, 0.750], [0.875, 0.819, 0.750], [0.569, 0.125, 0.250], [0.181, 0.625, 0.250], [0.750, 0.250, 0.500], [0.000, 0.000, 0.000], [0.500, 0.500, 0.000], [0.250, 0.750, 0.500]], "e_form_raw_ev_per_atom": -0.13, "magmom_total_mub_per_cell": 0.00, "e_above_lowest_polymorph_mev_per_atom": 644, "total_energy_ev_per_cell": -68.0}

=====

Record 7
{"formula": "Nb3CS", "functional": "PBE", "state": "optimized geometry", "cell": [[4.290, 0.000, 0.000], [0.000, 4.290, 0.000], [0.000, 0.000, 4.290]], "species": ["C", "S", "Nb", "Nb", "Nb"], "fractional_positions": [[0.000, 0.000, 0.000], [0.500, 0.500, 0.500], [0.000, 0.000, 0.500], [0.500, 0.000, 0.000], [0.000, 0.500, 0.000]], "e_form_raw_ev_per_atom": 0.18, "magmom_total_mub_per_cell": 0.00, "e_above_lowest_polymorph_mev_per_atom": 539, "total_energy_ev_per_cell": -42.7}

=====

Record 8
{"formula": "NbC2S", "functional": "PBE", "state": "optimized geometry", "cell": [[-2.361, -2.405, -3.646], [0.550, -4.275, 2.463], [-4.138, -2.768, 1.124]], "species": ["S", "S", "C", "C", "C", "C", "Nb", "Nb"], "fractional_positions": [[0.500, 0.500, 0.000], [0.250, 0.750, 0.500], [0.875, 0.798, 0.750], [0.375, 0.452, 0.750], [0.548, 0.125, 0.250], [0.202, 0.625, 0.250], [0.750, 0.250, 0.500], [0.000, 0.000, 0.000]], "e_form_raw_ev_per_atom": 1.06, "magmom_total_mub_per_cell": 0.00, "total_energy_ev_per_cell": -56.8}